1.
DFT (PBE) results for a relaxed TaOs3 crystal.

POSCAR file:
```
TaOs3
1.0
4.462 0.000 0.000
0.000 5.554 0.000
0.000 0.000 4.897
Ta Os
2 6
Direct
0.250 0.250 0.147
0.750 0.750 0.853
0.250 0.503 0.656
0.250 0.750 0.176
0.250 0.997 0.656
0.750 0.003 0.344
0.750 0.250 0.824
0.750 0.497 0.344
```

Properties
Uncorrected energy   -0.4221 Ha/atom


2.
DFT (PBE) results for a relaxed NaZrReMo crystal.

POSCAR file:
```
NaZrReMo
1.0
0.000 3.273 3.273
3.273 0.000 3.273
3.273 3.273 0.000
Na Zr Re Mo
1 1 1 1
Direct
0.000 0.000 0.000
0.750 0.750 0.750
0.500 0.500 0.500
0.250 0.250 0.250
```

Properties
Polymorph energy (0 for the lowest one)   0.000 eV/atom


3.
DFT (PBE) results for a relaxed DyHo2Cd3AgAu2 crystal.

POSCAR file:
```
DyHo2Cd3AgAu2
1.0
3.826 0.000 0.000
0.000 6.803 3.927
0.000 -6.803 3.927
Dy Ho Cd Ag Au
1 2 3 1 2
Direct
0.000 0.000 0.000
0.000 0.183 0.591
0.000 0.591 0.183
0.500 0.329 0.329
0.500 0.591 0.854
0.500 0.854 0.591
0.000 0.591 0.591
0.500 0.258 0.925
0.500 0.925 0.258
```

Properties
Uncorrected energy   -0.1267 Ha/atom


4.
DFT (PBE) results for a relaxed ZnCdTeO crystal.

POSCAR file:
```
ZnCdTeO
1.0
1.484 -9.027 0.000
1.484 9.027 0.000
0.000 0.000 5.718
Zn Cd Te O
2 2 2 2
Direct
0.022 0.978 0.750
0.978 0.022 0.250
0.360 0.640 0.750
0.640 0.360 0.250
0.320 0.680 0.250
0.680 0.320 0.750
0.500 0.500 0.000
0.500 0.500 0.500
```

Properties
Polymorph energy (0 for the lowest one)   0.301 eV/atom


5.
DFT (PBE) results for a relaxed K4Tm3Au2 crystal.

POSCAR file:
```
K4Tm3Au2
1.0
9.924 0.000 0.000
-4.962 8.594 0.000
0.000 0.000 4.193
K Tm Au
4 3 2
Direct
0.000 0.000 0.000
0.397 0.289 0.000
0.711 0.108 0.000
0.892 0.603 0.000
0.136 0.466 0.500
0.330 0.864 0.500
0.534 0.670 0.500
0.333 0.667 0.000
0.667 0.333 0.500
```

Properties
Uncorrected energy   -0.0962 Ha/atom


6.
DFT (PBE) results for a relaxed Be2IrPb crystal.

POSCAR file:
```
Be2IrPb
1.0
0.000 3.109 3.109
3.109 0.000 3.109
3.109 3.109 0.000
Be Ir Pb
2 1 1
Direct
0.000 0.000 0.000
0.250 0.250 0.250
0.750 0.750 0.750
0.500 0.500 0.500
```

Properties
Uncorrected energy   -0.1614 Ha/atom


7.
DFT (PBE) results for a relaxed Sr3Ga4Ni3 crystal.

POSCAR file:
```
Sr3Ga4Ni3
1.0
5.198 3.001 2.320
-5.198 3.001 2.320
0.000 -6.002 2.320
Sr Ga Ni
3 4 3
Direct
0.201 0.201 0.597
0.201 0.597 0.201
0.597 0.201 0.201
0.111 0.698 0.698
0.698 0.111 0.698
0.698 0.698 0.111
0.988 0.988 0.988
0.511 0.760 0.760
0.760 0.511 0.760
0.760 0.760 0.511
```

Properties
Uncorrected energy   -0.1408 Ha/atom


8.
DFT (PBE) results for a relaxed LaPr2Se3 crystal.

POSCAR file:
```
LaPr2Se3
1.0
4.278 0.000 0.000
-2.139 3.705 0.000
0.000 0.000 10.483
La Pr Se
1 2 3
Direct
0.000 0.000 0.000
0.333 0.667 0.665
0.667 0.333 0.335
0.000 0.000 0.500
0.333 0.667 0.169
0.667 0.333 0.831
```

Properties
Uncorrected energy   -0.2226 Ha/atom


9.
DFT (PBE) results for a relaxed ZrGa2Ag2 crystal.

POSCAR file:
```
ZrGa2Ag2
1.0
-1.996 1.996 5.965
1.996 -1.996 5.965
1.996 1.996 -5.965
Zr Ga Ag
1 2 2
Direct
0.000 0.000 0.000
0.250 0.750 0.500
0.750 0.250 0.500
0.392 0.392 0.000
0.608 0.608 0.000
```

Properties
Uncorrected energy   -0.1481 Ha/atom


10.
DFT (PBE) results for a relaxed Y2ErTl3AgPd2 crystal.

POSCAR file:
```
Y2ErTl3AgPd2
1.0
3.760 0.000 0.000
0.000 6.850 3.967
0.000 -6.850 3.967
Y Er Tl Ag Pd
2 1 3 1 2
Direct
0.000 0.203 0.797
0.000 0.797 0.203
0.000 0.610 0.610
0.500 0.203 0.477
0.500 0.477 0.203
0.500 0.929 0.929
0.000 0.204 0.204
0.500 0.537 0.866
0.500 0.866 0.537
```

Properties
Uncorrected energy   -0.1745 Ha/atom


11.
DFT (PBE) results for a relaxed La5In4Ag crystal.

POSCAR file:
```
La5In4Ag
1.0
3.766 0.000 0.000
0.000 3.766 0.000
0.000 0.000 21.217
La In Ag
5 4 1
Direct
0.000 0.000 0.000
0.000 0.000 0.204
0.000 0.000 0.406
0.000 0.000 0.594
0.000 0.000 0.796
0.500 0.500 0.102
0.500 0.500 0.308
0.500 0.500 0.692
0.500 0.500 0.898
0.500 0.500 0.500
```

Properties
Uncorrected energy   -0.1582 Ha/atom


12.
DFT (PBE) results for a relaxed Tm2Al8Pd crystal.

POSCAR file:
```
Tm2Al8Pd
1.0
4.272 0.000 0.000
0.000 4.272 0.000
0.000 0.000 11.087
Tm Al Pd
2 8 1
Direct
0.000 0.000 0.187
0.000 0.000 0.813
0.000 0.500 0.000
0.000 0.500 0.373
0.000 0.500 0.627
0.500 0.000 0.000
0.500 0.000 0.373
0.500 0.000 0.627
0.500 0.500 0.194
0.500 0.500 0.806
0.000 0.000 0.500
```

Properties
Uncorrected energy   -0.1648 Ha/atom


13.
DFT (PBE) results for a relaxed TbBr crystal.

POSCAR file:
```
TbBr
1.0
0.000 2.926 2.926
2.926 0.000 2.926
2.926 2.926 0.000
Tb Br
1 1
Direct
0.000 0.000 0.000
0.500 0.500 0.500
```

Properties
Uncorrected energy   -0.1429 Ha/atom


14.
DFT (PBE) results for a relaxed InCuTeIrSe2 crystal.

POSCAR file:
```
InCuTeIrSe2
1.0
1.934 -6.970 0.000
1.934 6.970 0.000
0.000 0.000 10.225
In Cu Te Ir Se
2 2 2 2 4
Direct
0.226 0.774 0.750
0.774 0.226 0.250
0.139 0.861 0.250
0.861 0.139 0.750
0.443 0.557 0.250
0.557 0.443 0.750
0.500 0.500 0.000
0.500 0.500 0.500
0.117 0.883 0.025
0.117 0.883 0.475
0.883 0.117 0.525
0.883 0.117 0.975
```

Properties
Uncorrected energy   -0.1618 Ha/atom


15.
DFT (PBE) results for a relaxed HfCdNi crystal.

POSCAR file:
```
HfCdNi
1.0
0.000 3.115 3.115
3.115 0.000 3.115
3.115 3.115 0.000
Hf Cd Ni
1 1 1
Direct
0.000 0.000 0.000
0.250 0.250 0.250
0.500 0.500 0.500
```

Properties
Uncorrected energy   -0.1797 Ha/atom


16.
DFT (PBE) results for a relaxed RbTaBr2Cl4 crystal.

POSCAR file:
```
RbTaBr2Cl4
1.0
4.803 -12.908 0.000
4.803 12.908 0.000
-2.456 0.000 5.589
Rb Ta Br Cl
2 2 4 8
Direct
0.090 0.910 0.000
0.910 0.090 0.000
0.055 0.563 0.434
0.563 0.055 0.434
0.278 0.859 0.454
0.484 0.847 0.147
0.847 0.484 0.147
0.859 0.278 0.454
0.033 0.865 0.470
0.104 0.663 0.825
0.193 0.537 0.335
0.313 0.392 0.468
0.392 0.313 0.468
0.537 0.193 0.335
0.663 0.104 0.825
0.865 0.033 0.470
```

Properties
Uncorrected energy   -0.1430 Ha/atom


17.
DFT (PBE) results for a relaxed HfCdNO crystal.

POSCAR file:
```
HfCdNO
1.0
3.709 0.000 0.000
0.000 6.891 0.000
0.000 0.000 5.028
Hf Cd N O
2 2 2 2
Direct
0.000 0.146 0.000
0.000 0.854 0.500
0.500 0.360 0.466
0.500 0.640 0.966
0.000 0.138 0.407
0.000 0.862 0.907
0.500 0.229 0.902
0.500 0.771 0.402
```

Properties
Polymorph energy (0 for the lowest one)   0.089 eV/atom


18.
DFT (PBE) results for a relaxed MgNb2Bi3Ir3 crystal.

POSCAR file:
```
MgNb2Bi3Ir3
1.0
3.907 -6.766 0.000
3.907 6.766 0.000
-2.614 0.000 7.357
Mg Nb Bi Ir
2 4 6 6
Direct
0.087 0.913 0.500
0.913 0.087 0.000
0.254 0.750 0.008
0.424 0.590 0.508
0.590 0.424 0.008
0.750 0.254 0.508
0.005 0.494 0.261
0.166 0.317 0.759
0.317 0.166 0.259
0.494 0.005 0.761
0.689 0.850 0.248
0.850 0.689 0.748
0.133 0.611 0.640
0.316 0.483 0.139
0.483 0.316 0.639
0.611 0.133 0.140
0.768 0.959 0.616
0.959 0.768 0.116
```

Properties
Uncorrected energy   -0.2558 Ha/atom


19.
DFT (PBE) results for a relaxed SmYEr crystal.

POSCAR file:
```
SmYEr
1.0
0.000 3.844 3.844
3.844 0.000 3.844
3.844 3.844 0.000
Sm Y Er
1 1 1
Direct
0.000 0.000 0.000
0.500 0.500 0.500
0.250 0.250 0.250
```

Properties
Polymorph energy (0 for the lowest one)   0.000 eV/atom


20.
DFT (PBE) results for a relaxed AcZrZn crystal.

POSCAR file:
```
AcZrZn
1.0
0.000 3.601 3.601
3.601 0.000 3.601
3.601 3.601 0.000
Ac Zr Zn
1 1 1
Direct
0.000 0.000 0.000
0.250 0.250 0.250
0.750 0.750 0.750
```

Properties
Polymorph energy (0 for the lowest one)   0.682 eV/atom


21.
DFT (PBE) results for a relaxed FeBiMoOs crystal.

POSCAR file:
```
FeBiMoOs
1.0
0.000 3.215 3.215
3.215 0.000 3.215
3.215 3.215 0.000
Fe Bi Mo Os
1 1 1 1
Direct
0.000 0.000 0.000
0.750 0.750 0.750
0.250 0.250 0.250
0.500 0.500 0.500
```

Properties
Polymorph energy (0 for the lowest one)   0.000 eV/atom


22.
DFT (PBE) results for a relaxed Cu2Se3F crystal.

POSCAR file:
```
Cu2Se3F
1.0
5.040 0.000 0.000
0.000 3.363 0.000
-0.603 0.000 6.351
Cu Se F
2 3 1
Direct
0.000 0.000 0.000
0.490 0.500 0.474
0.215 0.000 0.623
0.325 0.500 0.099
0.815 0.000 0.387
0.800 0.500 0.891
```

Properties
Polymorph energy (0 for the lowest one)   0.000 eV/atom


23.
DFT (PBE) results for a relaxed KAlFe crystal.

POSCAR file:
```
KAlFe
1.0
0.000 3.406 3.406
3.406 0.000 3.406
3.406 3.406 0.000
K Al Fe
1 1 1
Direct
0.000 0.000 0.000
0.500 0.500 0.500
0.750 0.750 0.750
```

Properties
Polymorph energy (0 for the lowest one)   0.000 eV/atom


24.
DFT (PBE) results for a relaxed ErTaN2O crystal.

POSCAR file:
```
ErTaN2O
1.0
5.567 0.000 0.000
-2.771 4.836 0.000
-2.747 -1.591 9.119
Er Ta N O
4 4 8 4
Direct
0.000 0.000 0.000
0.001 0.496 0.488
0.493 0.185 0.743
0.503 0.695 0.249
0.244 0.081 0.361
0.264 0.590 0.875
0.737 0.327 0.122
0.738 0.846 0.630
0.077 0.278 0.218
0.435 0.451 0.031
0.444 0.939 0.523
0.501 0.604 0.743
0.504 0.112 0.245
0.557 0.011 0.956
0.937 0.701 0.272
0.938 0.186 0.779
0.028 0.109 0.502
0.069 0.751 0.698
0.591 0.518 0.460
0.986 0.596 0.980
```

Properties
Uncorrected energy   -0.3510 Ha/atom


25.
DFT (PBE) results for a relaxed RbTlPt2O4 crystal.

POSCAR file:
```
RbTlPt2O4
1.0
6.129 0.000 0.000
0.000 2.290 5.896
0.000 -2.290 5.896
Rb Tl Pt O
1 1 2 4
Direct
0.000 0.000 0.000
0.500 0.610 0.610
0.000 0.299 0.299
0.500 0.304 0.304
0.247 0.408 0.408
0.253 0.194 0.194
0.747 0.194 0.194
0.753 0.408 0.408
```

Properties
Uncorrected energy   -0.1879 Ha/atom